1.
{"formula": "Ag2BiCl", "functional": "PBE-GGA", "state": "optimized geometry", "cell": [[0.000, 3.598, 3.598], [3.598, 0.000, 3.598], [3.598, 3.598, 0.000]], "species": ["Ag", "Bi", "Ag", "Cl"], "frac_coords": [[0.250, 0.250, 0.250], [0.500, 0.500, 0.500], [0.750, 0.750, 0.750], [0.000, 0.000, 0.000]], "dft_energy_ev_per_cell": -10.46, "spacegroup": "No. 225", "e_form_raw_ev_per_atom": 0.243, "relative_energy_ev_per_fu": 0.87}

2.
{"formula": "AgBiCl2", "functional": "PBE-GGA", "state": "optimized geometry", "cell": [[0.000, 3.617, 3.617], [3.617, 0.000, 3.617], [3.617, 3.617, 0.000]], "species": ["Cl", "Ag", "Bi", "Cl"], "frac_coords": [[0.250, 0.250, 0.250], [0.000, 0.000, 0.000], [0.500, 0.500, 0.500], [0.750, 0.750, 0.750]], "dft_energy_ev_per_cell": -10.61, "spacegroup": "No. 225", "e_form_raw_ev_per_atom": -0.047, "relative_energy_ev_per_fu": 1.63}

3.
{"formula": "Ag6BiCl12", "functional": "PBE-GGA", "state": "optimized geometry", "cell": [[8.274, -0.316, -1.949], [-2.389, 7.927, -1.949], [-0.244, -0.316, 8.496]], "species": ["Cl", "Ag", "Cl", "Ag", "Cl", "Bi", "Cl", "Ag", "Ag", "Ag", "Cl", "Cl", "Cl", "Cl", "Cl", "Cl", "Cl", "Ag", "Cl"], "frac_coords": [[0.802, 0.273, 0.600], [0.266, 0.677, 0.118], [0.920, 0.665, 0.976], [0.323, 0.882, 0.734], [0.665, 0.976, 0.920], [0.000, 0.000, 0.000], [0.400, 0.198, 0.727], [0.882, 0.734, 0.323], [0.677, 0.118, 0.266], [0.734, 0.323, 0.882], [0.080, 0.335, 0.024], [0.198, 0.727, 0.400], [0.335, 0.024, 0.080], [0.600, 0.802, 0.273], [0.273, 0.600, 0.802], [0.727, 0.400, 0.198], [0.024, 0.080, 0.335], [0.118, 0.266, 0.677], [0.976, 0.920, 0.665]], "dft_energy_ev_per_cell": -52.45, "spacegroup": "No. 148", "e_form_raw_ev_per_atom": -0.489}

4.
{"formula": "Ag3BiCl7", "functional": "PBE-GGA", "state": "optimized geometry", "cell": [[1.778, -6.923, 1.182], [6.420, -1.757, -2.860], [8.706, -4.413, 4.358]], "species": ["Cl", "Cl", "Cl", "Ag", "Cl", "Cl", "Ag", "Cl", "Ag", "Cl", "Bi"], "frac_coords": [[0.884, 0.422, 0.742], [0.422, 0.884, 0.742], [0.569, 0.104, 0.269], [0.530, 0.530, 0.997], [0.897, 0.897, 0.774], [0.241, 0.241, 0.923], [0.243, 0.705, 0.587], [0.565, 0.565, 0.349], [0.705, 0.243, 0.587], [0.104, 0.569, 0.269], [0.964, 0.964, 0.013]], "dft_energy_ev_per_cell": -31.91, "spacegroup": "No. 8", "e_form_raw_ev_per_atom": -0.595}

5.
{"formula": "Ag3BiCl", "functional": "PBE-GGA", "state": "optimized geometry", "cell": [[5.048, 0.000, 0.000], [0.000, 5.048, 0.000], [0.000, 0.000, 5.048]], "species": ["Ag", "Cl", "Ag", "Ag", "Bi"], "frac_coords": [[0.000, 0.500, 0.000], [0.000, 0.000, 0.000], [0.000, 0.000, 0.500], [0.500, 0.000, 0.000], [0.500, 0.500, 0.500]], "dft_energy_ev_per_cell": -12.18, "spacegroup": "No. 221", "e_form_raw_ev_per_atom": 0.419, "relative_energy_ev_per_fu": 0.00}

6.
{"formula": "AgBiCl2", "functional": "PBE-GGA", "state": "optimized geometry", "cell": [[-3.631, -0.076, 9.157], [-3.539, -9.074, -1.479], [-1.204, -5.656, 4.774]], "species": ["Cl", "Bi", "Ag", "Cl", "Bi", "Ag", "Cl", "Cl"], "frac_coords": [[0.875, 0.005, 0.750], [0.000, 0.000, 0.000], [0.500, 0.500, 0.000], [0.995, 0.625, 0.250], [0.750, 0.250, 0.500], [0.250, 0.750, 0.500], [0.755, 0.125, 0.250], [0.375, 0.245, 0.750]], "dft_energy_ev_per_cell": -23.37, "spacegroup": "No. 122", "e_form_raw_ev_per_atom": -0.315, "relative_energy_ev_per_fu": 0.56}

7.
{"formula": "Ag4BiCl8", "functional": "PBE-GGA", "state": "optimized geometry", "cell": [[7.134, 0.526, 3.519], [2.406, 6.736, 3.519], [0.691, 0.526, 7.925]], "species": ["Ag", "Ag", "Cl", "Cl", "Ag", "Cl", "Ag", "Cl", "Cl", "Cl", "Cl", "Cl", "Bi"], "frac_coords": [[0.000, 0.500, 0.500], [0.000, 0.000, 0.000], [0.747, 0.246, 0.747], [0.253, 0.253, 0.754], [0.500, 0.500, 0.000], [0.246, 0.747, 0.747], [0.500, 0.000, 0.500], [0.253, 0.754, 0.253], [0.754, 0.253, 0.253], [0.272, 0.272, 0.272], [0.747, 0.747, 0.246], [0.728, 0.728, 0.728], [0.500, 0.500, 0.500]], "dft_energy_ev_per_cell": -37.22, "spacegroup": "No. 166", "e_form_raw_ev_per_atom": -0.551}

8.
{"formula": "AgBiCl2", "functional": "PBE-GGA", "state": "optimized geometry", "cell": [[7.992, -3.468, 2.683], [8.975, -1.553, -0.360], [8.635, 0.196, 2.913]], "species": ["Ag", "Cl", "Cl", "Bi"], "frac_coords": [[0.500, 0.500, 0.500], [0.897, 0.897, 0.897], [0.103, 0.103, 0.103], [0.000, 0.000, 0.000]], "dft_energy_ev_per_cell": -12.24, "spacegroup": "No. 166", "e_form_raw_ev_per_atom": -0.454, "relative_energy_ev_per_fu": 0.00}

9.
{"formula": "Ag2Bi2Cl", "functional": "PBE-GGA", "state": "optimized geometry", "cell": [[3.954, 0.000, 0.000], [0.000, 3.954, 0.000], [1.977, 1.977, 8.165]], "species": ["Ag", "Bi", "Cl", "Bi", "Ag"], "frac_coords": [[0.250, 0.750, 0.500], [0.390, 0.390, 0.219], [0.000, 0.000, 0.000], [0.610, 0.610, 0.781], [0.750, 0.250, 0.500]], "dft_energy_ev_per_cell": -15.20, "spacegroup": "No. 139", "e_form_raw_ev_per_atom": 0.023, "relative_energy_ev_per_fu": 0.12}

10.
{"formula": "Ag5BiCl8", "functional": "PBE-GGA", "state": "optimized geometry", "cell": [[7.265, -0.064, -2.326], [-3.887, 6.138, -2.326], [0.035, 0.064, 7.628]], "species": ["Bi", "Ag", "Cl", "Cl", "Cl", "Cl", "Cl", "Ag", "Cl", "Ag", "Ag", "Cl", "Ag", "Cl"], "frac_coords": [[0.250, 0.750, 0.500], [0.963, 0.094, 0.373], [0.742, 0.435, 0.286], [0.175, 0.364, 0.232], [0.636, 0.868, 0.811], [0.132, 0.944, 0.768], [0.056, 0.825, 0.189], [0.410, 0.037, 0.131], [0.149, 0.456, 0.714], [0.500, 0.500, 0.000], [0.906, 0.279, 0.869], [0.565, 0.851, 0.307], [0.721, 0.590, 0.627], [0.544, 0.258, 0.693]], "dft_energy_ev_per_cell": -40.68, "spacegroup": "No. 82", "e_form_raw_ev_per_atom": -0.555}

11.
{"formula": "Ag2BiCl", "functional": "PBE-GGA", "state": "optimized geometry", "cell": [[7.274, 0.000, 0.000], [0.000, 7.274, 0.000], [3.637, 3.637, 4.000]], "species": ["Cl", "Cl", "Ag", "Ag", "Ag", "Bi", "Ag", "Bi"], "frac_coords": [[0.500, 0.500, 0.000], [0.250, 0.750, 0.500], [0.604, 0.125, 0.250], [0.375, 0.396, 0.750], [0.875, 0.854, 0.750], [0.000, 0.000, 0.000], [0.146, 0.625, 0.250], [0.750, 0.250, 0.500]], "dft_energy_ev_per_cell": -22.65, "spacegroup": "No. 122", "e_form_raw_ev_per_atom": 0.027, "relative_energy_ev_per_fu": 0.00}

12.
{"formula": "Ag3BiCl", "functional": "PBE-GGA", "state": "optimized geometry", "cell": [[-0.707, 4.395, 3.108], [-3.858, -2.600, 2.799], [3.755, -1.844, 3.461]], "species": ["Ag", "Cl", "Bi", "Ag", "Ag"], "frac_coords": [[0.000, 0.500, 0.000], [0.500, 0.500, 0.500], [0.000, 0.000, 0.000], [0.000, 0.000, 0.500], [0.500, 0.000, 0.000]], "dft_energy_ev_per_cell": -12.09, "spacegroup": "No. 221", "e_form_raw_ev_per_atom": 0.438, "relative_energy_ev_per_fu": 0.09}

13.
{"formula": "Ag2Bi2Cl", "functional": "PBE-GGA", "state": "optimized geometry", "cell": [[-6.258, -4.613, 3.659], [-3.050, -2.028, -7.773], [2.022, -2.794, -0.064]], "species": ["Bi", "Bi", "Ag", "Bi", "Ag", "Cl", "Cl", "Ag", "Ag", "Bi"], "frac_coords": [[0.683, 0.183, 0.000], [0.317, 0.817, 0.000], [0.883, 0.383, 0.500], [0.817, 0.683, 0.000], [0.383, 0.117, 0.500], [0.500, 0.500, 0.000], [0.000, 0.000, 0.000], [0.617, 0.883, 0.500], [0.117, 0.617, 0.500], [0.183, 0.317, 0.000]], "dft_energy_ev_per_cell": -30.64, "spacegroup": "No. 127", "e_form_raw_ev_per_atom": -0.002, "relative_energy_ev_per_fu": 0.00}

14.
{"formula": "CoAgBiCl6", "functional": "PBE-GGA", "state": "optimized geometry", "cell": [[-3.285, -5.727, -0.893], [3.873, 2.410, -4.856], [9.375, -6.074, 4.463]], "species": ["Ag", "Cl", "Cl", "Cl", "Co", "Co", "Cl", "Bi", "Bi", "Cl", "Cl", "Ag", "Cl", "Cl", "Cl", "Cl", "Cl", "Cl"], "frac_coords": [[0.000, 0.000, 0.500], [0.032, 0.366, 0.131], [0.334, 0.968, 0.131], [0.366, 0.334, 0.869], [0.333, 0.667, 0.250], [0.667, 0.333, 0.750], [0.634, 0.968, 0.369], [0.667, 0.333, 0.250], [0.333, 0.667, 0.750], [0.968, 0.334, 0.631], [0.334, 0.366, 0.369], [0.000, 0.000, 0.000], [0.666, 0.634, 0.631], [0.968, 0.634, 0.869], [0.666, 0.032, 0.869], [0.634, 0.666, 0.131], [0.366, 0.032, 0.631], [0.032, 0.666, 0.369]], "dft_energy_ev_per_cell": -62.24, "spacegroup": "No. 163", "e_form_raw_ev_per_atom": -0.689}

15.
{"formula": "CsAg2BiCl6", "functional": "PBE-GGA", "state": "optimized geometry", "cell": [[7.307, 0.001, 0.001], [3.654, 6.328, 0.003], [3.654, 2.113, 6.573]], "species": ["Ag", "Cl", "Cl", "Bi", "Cl", "Cl", "Cs", "Cl", "Ag", "Cl"], "frac_coords": [[0.527, 0.527, 0.419], [0.303, 0.734, 0.753], [0.733, 0.212, 0.752], [0.327, 0.327, 0.019], [0.212, 0.303, 0.752], [0.598, 0.265, 0.223], [0.787, 0.787, 0.639], [0.265, 0.914, 0.223], [0.996, 0.996, 0.012], [0.914, 0.597, 0.224]], "dft_energy_ev_per_cell": -31.34, "spacegroup": "No. 146", "e_form_raw_ev_per_atom": -0.982}

16.
{"formula": "Cs3Ag2BiCl8", "functional": "PBE-GGA", "state": "optimized geometry", "cell": [[7.614, 0.000, 0.000], [-3.807, 6.594, 0.000], [0.000, 0.000, 10.190]], "species": ["Cl", "Cl", "Cl", "Cl", "Cs", "Cs", "Cl", "Cl", "Ag", "Cs", "Bi", "Ag", "Cl", "Cl"], "frac_coords": [[0.667, 0.333, 0.045], [0.166, 0.332, 0.340], [0.834, 0.668, 0.660], [0.166, 0.834, 0.340], [0.667, 0.333, 0.366], [0.000, 0.000, 0.000], [0.668, 0.834, 0.340], [0.332, 0.166, 0.660], [0.667, 0.333, 0.808], [0.333, 0.667, 0.634], [0.000, 0.000, 0.500], [0.333, 0.667, 0.192], [0.834, 0.166, 0.660], [0.333, 0.667, 0.955]], "dft_energy_ev_per_cell": -44.73, "spacegroup": "No. 164", "e_form_raw_ev_per_atom": -1.272}

17.
{"formula": "Cs3Ag2BiCl9", "functional": "PBE-GGA", "state": "optimized geometry", "cell": [[7.596, 0.000, 0.000], [-3.798, 6.578, 0.000], [0.000, 0.000, 9.374]], "species": ["Cl", "Cl", "Cl", "Cl", "Cs", "Cs", "Cl", "Cl", "Cl", "Bi", "Cl", "Cs", "Ag", "Cl", "Ag"], "frac_coords": [[0.663, 0.832, 0.333], [0.337, 0.168, 0.667], [0.000, 0.500, 0.000], [0.168, 0.337, 0.333], [0.667, 0.333, 0.316], [0.333, 0.667, 0.684], [0.832, 0.168, 0.667], [0.500, 0.500, 0.000], [0.500, 0.000, 0.000], [0.000, 0.000, 0.500], [0.168, 0.832, 0.333], [0.000, 0.000, 0.000], [0.333, 0.667, 0.151], [0.832, 0.663, 0.667], [0.667, 0.333, 0.849]], "dft_energy_ev_per_cell": -47.50, "spacegroup": "No. 164", "e_form_raw_ev_per_atom": -1.249}

18.
{"formula": "Cs2AgBiCl6", "functional": "PBE-GGA", "state": "optimized geometry", "cell": [[7.742, 0.000, 0.000], [3.871, 6.704, 0.000], [3.871, 2.235, 6.321]], "species": ["Bi", "Cl", "Cs", "Cl", "Cl", "Cl", "Cs", "Cl", "Ag", "Cl"], "frac_coords": [[0.000, 0.000, 0.000], [0.249, 0.249, 0.751], [0.750, 0.750, 0.750], [0.751, 0.249, 0.751], [0.249, 0.751, 0.751], [0.751, 0.751, 0.249], [0.250, 0.250, 0.250], [0.751, 0.249, 0.249], [0.500, 0.500, 0.500], [0.249, 0.751, 0.249]], "dft_energy_ev_per_cell": -32.98, "spacegroup": "No. 225", "e_form_raw_ev_per_atom": -1.346}

19.
{"formula": "CsAgBiCl6", "functional": "PBE-GGA", "state": "optimized geometry", "cell": [[-0.571, 5.241, -4.628], [-5.367, -0.335, -4.541], [-4.721, 3.486, 4.950]], "species": ["Cl", "Cl", "Cl", "Cl", "Ag", "Cl", "Bi", "Cs", "Cl"], "frac_coords": [[0.021, 0.357, 0.273], [0.398, 0.630, 0.296], [0.629, 0.989, 0.326], [0.630, 0.401, 0.704], [0.663, 0.664, 0.499], [0.991, 0.629, 0.673], [0.324, 0.323, 0.500], [0.983, 0.984, 0.999], [0.361, 0.024, 0.730]], "dft_energy_ev_per_cell": -27.85, "spacegroup": "No. 1", "e_form_raw_ev_per_atom": -1.021}

20.
{"formula": "CsAgBi2Cl8", "functional": "PBE-GGA", "state": "optimized geometry", "cell": [[6.974, 0.587, -0.035], [0.688, 7.541, -0.483], [0.001, -0.568, 8.605]], "species": ["Cl", "Cl", "Ag", "Cs", "Cl", "Bi", "Cl", "Bi", "Cl", "Cl", "Cl", "Cl"], "frac_coords": [[0.861, 0.371, 0.761], [0.592, 0.710, 0.060], [0.000, 0.000, 0.000], [0.000, 0.000, 0.500], [0.422, 0.289, 0.512], [0.495, 0.483, 0.241], [0.408, 0.290, 0.940], [0.505, 0.517, 0.759], [0.578, 0.711, 0.488], [0.862, 0.232, 0.200], [0.139, 0.629, 0.239], [0.138, 0.768, 0.800]], "dft_energy_ev_per_cell": -38.87, "spacegroup": "No. 2", "e_form_raw_ev_per_atom": -1.052}